NiSbI2F after structural relaxation, computed with PBE with a Hubbard U.

Offset from the most stable computed form ... 0.00 kJ/mol of atoms
Density of states at the Fermi level ... 0.68 states/eV/atom
Calculated volume ... 129 Å³ per cell

Cell and atoms, written as CIF:
```
data_NiSbI2F
_chemical_formula_sum 'Ni1 Sb1 I2 F1'
_cell_length_a 5.1344
_cell_length_b 5.1344
_cell_length_c 4.9052
_cell_angle_alpha 90.00
_cell_angle_beta 90.00
_cell_angle_gamma 90.00
_symmetry_space_group_name_H-M 'P 4/m m m'
_symmetry_Int_Tables_number 123
_symmetry_space_group_name_Hall '-P 4 2'
loop_
_atom_site_label
_atom_site_fract_x
_atom_site_fract_y
_atom_site_fract_z
_atom_site_occupancy
Ni1 0.0000 0.0000 0.0000 1
Sb1 0.0000 0.0000 0.5000 1
I1 0.0000 0.5000 0.0000 1
F1 0.5000 0.5000 0.5000 1
```